Ba4Ga2H, relaxed, DFT PBE; distance to the lowest polymorph of the same formula = 9 kJ/mol of formula units; calculated volume = 260.3 Å³ per cell
1.0
-4.823 2.786 -0.781
-2.894 -4.644 1.303
3.860 3.151 7.663
H Ba Ga
1 4 2
Direct
0.000 0.000 0.000 H
0.810 0.810 0.621 Ba
0.190 0.190 0.379 Ba
0.000 0.500 0.000 Ba
0.500 0.000 0.000 Ba
0.612 0.612 0.224 Ga
0.388 0.388 0.776 Ga